The following is a DFT calculation (GGA-PBE) of a relaxed Y2FeSe crystal.

Properties
Formation energy from raw total energies (meV/atom): -707

a = 4.1432 Å, b = 3.8871 Å, c = 10.6932 Å
α = 90.00°, β = 90.00°, γ = 90.00°
Closest atoms and distances in Å follow each position.
Space group Amm2 (No. 38)
One atom of each set of equivalent atoms:
Y1 0.0000 0.0000 0.0000 (multiplicity 2)  4 Fe 2.91, 3 Se 3.00-3.06
Y2 0.5000 0.0000 0.2848 (multiplicity 2)  4 Se 2.94, 3 Fe 2.94-3.09
Fe1 0.5000 0.0000 0.5598 (multiplicity 2)  2 Se 2.64, 5 Y 2.91-2.94
Se1 0.0000 0.0000 0.7136 (multiplicity 2)  2 Fe 2.64, 4 Y 2.94